Entry from Alexandria: BeAgP2 at its PBEsol-relaxed geometry (SCAN).

The structure belongs to space group F-43m (No. 216); the cell edges are 6.074, 6.074 and 6.074 Å and the angles 90.00°, 90.00° and 90.00°. The asymmetric unit holds Be at (0.000, 0.000, 0.000), Ag at (0.250, 0.250, 0.750), P at (0.000, 0.000, 0.500) and P at (0.250, 0.250, 0.250).

Its formation energy is 0.778 eV/atom. For the calculated volume, the calculation gives 224.1 Å³ per cell. The calculation puts the density of states at the Fermi level at 6.56 states/eV/cell.